Material: Pr6Cu2Rh
Method: DFT, PBE
State: optimized geometry

Summary:
Crystal system: monoclinic
Energy: -5.077 eV per atom
ρ: 6.63 g/cm3

abc: 6.7746 7.4998 12.3156
angles: 90.00 120.61 90.00
Closest atoms and distances in Å follow each position.
Element x y z (fractional)
Pr  0.0967  0.1907  0.4298  1 Rh 2.80, 2 Cu 2.96-3.10
Pr  0.0967  0.3093  0.9298  1 Rh 2.80, 2 Cu 2.96-3.10
Pr  0.2546  0.6752  0.4276  1 Rh 2.83, 2 Cu 3.02-3.03
Pr  0.2546  0.8248  0.9276  1 Rh 2.83, 2 Cu 3.02-3.03
Pr  0.3955  0.0409  0.2444  1 Rh 2.87, 2 Cu 3.00-3.01
Pr  0.3955  0.4591  0.7444  1 Rh 2.87, 2 Cu 3.00-3.01
Pr  0.6045  0.5409  0.2556  1 Rh 2.87, 2 Cu 3.00-3.01
Pr  0.6045  0.9591  0.7556  1 Rh 2.87, 2 Cu 3.00-3.01
Pr  0.7454  0.1752  0.0724  1 Rh 2.83, 2 Cu 3.02-3.03
Pr  0.7454  0.3248  0.5724  1 Rh 2.83, 2 Cu 3.02-3.03
Pr  0.9033  0.6907  0.0702  1 Rh 2.80, 2 Cu 2.96-3.10
Pr  0.9033  0.8093  0.5702  1 Rh 2.80, 2 Cu 2.96-3.10
Cu  0.1738  0.1091  0.7347  6 Pr 2.96-3.10
Cu  0.1738  0.3909  0.2347  6 Pr 2.96-3.10
Cu  0.8262  0.6091  0.7653  6 Pr 2.96-3.10
Cu  0.8262  0.8909  0.2653  6 Pr 2.96-3.10
Rh  0.5000  0.0000  0.5000  6 Pr 2.80-2.87
Rh  0.5000  0.5000  0.0000  6 Pr 2.80-2.87

---

Material: Pr2CuRh3
Method: DFT, PBE
State: optimized geometry

Summary:
Crystal system: trigonal
Energy: -6.494 eV per atom
ρ: 9.67 g/cm3

abc: 5.2916 5.2916 5.2916
angles: 63.26 63.26 63.26
Closest atoms and distances in Å follow each position.
Element x y z (fractional)
Pr  0.1272  0.1272  0.1272  9 Rh 3.06-3.21, 4 Pr 3.21-3.36, 3 Cu 3.24
Pr  0.8728  0.8728  0.8728  9 Rh 3.06-3.21, 4 Pr 3.21-3.36, 3 Cu 3.24
Cu  0.5000  0.5000  0.5000  6 Rh 2.65
Rh  0.0000  0.5000  0.5000  2 Cu 2.65, 4 Rh 2.77
Rh  0.5000  0.0000  0.5000  2 Cu 2.65, 4 Rh 2.77
Rh  0.5000  0.5000  0.0000  2 Cu 2.65, 4 Rh 2.77

---

Material: Pr2Cu15Rh2
Method: DFT, PBE
State: optimized geometry

Summary:
Crystal system: trigonal
Energy: -4.642 eV per atom
ρ: 8.71 g/cm3

abc: 6.5412 6.5412 6.5412
angles: 83.45 83.45 83.45
Closest atoms and distances in Å follow each position.
Element x y z (fractional)
Pr  0.1648  0.1648  0.1648  1 Rh 2.90, 12 Cu 3.11-3.17
Pr  0.8352  0.8352  0.8352  1 Rh 2.90, 12 Cu 3.11-3.17
Cu  0.0000  0.5000  0.5000  8 Cu 2.46-2.52, 2 Rh 2.63
Cu  0.1514  0.1514  0.6525  8 Cu 2.52-2.65, 1 Rh 2.70
Cu  0.1514  0.6525  0.1514  8 Cu 2.52-2.65, 1 Rh 2.70
Cu  0.2107  0.5000  0.7893  8 Cu 2.46-2.65
Cu  0.2107  0.7893  0.5000  8 Cu 2.46-2.65
Cu  0.3475  0.8486  0.8486  8 Cu 2.52-2.65, 1 Rh 2.70
Cu  0.5000  0.0000  0.5000  8 Cu 2.46-2.52, 2 Rh 2.63
Cu  0.5000  0.2107  0.7893  8 Cu 2.46-2.65
Cu  0.5000  0.5000  0.0000  8 Cu 2.46-2.52, 2 Rh 2.63
Cu  0.5000  0.7893  0.2107  8 Cu 2.46-2.65
Cu  0.6525  0.1514  0.1514  8 Cu 2.52-2.65, 1 Rh 2.70
Cu  0.7893  0.2107  0.5000  8 Cu 2.46-2.65
Cu  0.7893  0.5000  0.2107  8 Cu 2.46-2.65
Cu  0.8486  0.3475  0.8486  8 Cu 2.52-2.65, 1 Rh 2.70
Cu  0.8486  0.8486  0.3475  8 Cu 2.52-2.65, 1 Rh 2.70
Rh  0.3957  0.3957  0.3957  1 Rh 2.62, 12 Cu 2.63-2.84, 1 Pr 2.90
Rh  0.6043  0.6043  0.6043  1 Rh 2.62, 12 Cu 2.63-2.84, 1 Pr 2.90

---

Material: PrCuRh
Method: DFT, PBE
State: optimized geometry

Summary:
Crystal system: orthorhombic
Energy: -5.858 eV per atom
ρ: 9.17 g/cm3

abc: 5.4428 5.4428 5.4428
angles: 125.18 117.06 88.22
Closest atoms and distances in Å follow each position.
Element x y z (fractional)
Pr  0.3716  0.1216  0.2500  6 Rh 3.03-3.28, 6 Cu 3.16-3.26, 2 Pr 3.21
Pr  0.6284  0.8784  0.7500  6 Rh 3.03-3.28, 6 Cu 3.16-3.26, 2 Pr 3.21
Cu  0.0000  0.0000  0.5000  2 Cu 2.51, 4 Rh 2.72
Cu  0.0000  0.5000  0.0000  2 Cu 2.51, 4 Rh 2.72
Rh  0.0000  0.5000  0.5000  4 Cu 2.72, 2 Rh 2.84, 4 Pr 3.03
Rh  0.5000  0.5000  0.0000  4 Cu 2.72, 2 Rh 2.84, 4 Pr 3.03

---

Material: Pr5CuRh2
Method: DFT, PBE
State: optimized geometry

Summary:
Crystal system: tetragonal
Energy: -5.716 eV per atom
ρ: 7.44 g/cm3

abc: 8.8609 8.8609 8.8609
angles: 126.52 126.52 79.04
Closest atoms and distances in Å follow each position.
Element x y z (fractional)
Pr  0.0000  0.0000  0.0000  4 Rh 3.11, 2 Cu 3.42
Pr  0.0262  0.5262  0.8295  3 Rh 2.96-3.05
Pr  0.1966  0.0262  0.5000  3 Rh 2.96-3.05
Pr  0.3034  0.8034  0.8295  3 Rh 2.96-3.05
Pr  0.4738  0.3034  0.5000  3 Rh 2.96-3.05
Pr  0.5000  0.5000  0.0000  4 Rh 3.11, 2 Cu 3.42
Pr  0.5262  0.6966  0.5000  3 Rh 2.96-3.05
Pr  0.6966  0.1966  0.1705  3 Rh 2.96-3.05
Pr  0.8034  0.9738  0.5000  3 Rh 2.96-3.05
Pr  0.9738  0.4738  0.1705  3 Rh 2.96-3.05
Cu  0.2500  0.2500  0.0000  10 Pr 3.35-3.42
Cu  0.7500  0.7500  0.0000  10 Pr 3.35-3.42
Rh  0.1336  0.3664  0.5000  8 Pr 2.96-3.11, 1 Rh 3.01
Rh  0.3664  0.8664  0.2329  8 Pr 2.96-3.11, 1 Rh 3.01
Rh  0.6336  0.1336  0.7671  8 Pr 2.96-3.11, 1 Rh 3.01
Rh  0.8664  0.6336  0.5000  8 Pr 2.96-3.11, 1 Rh 3.01

---

Material: Pr3Cu8Rh
Method: DFT, PBE
State: optimized geometry

Summary:
Crystal system: trigonal
Energy: -4.652 eV per atom
ρ: 8.41 g/cm3

abc: 9.2381 9.2381 9.2381
angles: 32.65 32.65 32.65
Closest atoms and distances in Å follow each position.
Element x y z (fractional)
Pr  0.0000  0.0000  0.0000  12 Cu 3.05-3.27, 4 Pr 3.38-3.39
Pr  0.1290  0.1290  0.1290  12 Cu 2.88-3.15, 3 Rh 3.07
Pr  0.6061  0.6061  0.6061  9 Cu 2.92-3.13, 1 Rh 3.11
Cu  0.0506  0.0506  0.5637  6 Cu 2.53-2.72
Cu  0.0506  0.5637  0.0506  6 Cu 2.53-2.72
Cu  0.0644  0.5596  0.5596  6 Cu 2.57-2.73, 1 Rh 2.85
Cu  0.3074  0.3074  0.3074  6 Cu 2.72-2.73
Cu  0.5596  0.0644  0.5596  6 Cu 2.57-2.73, 1 Rh 2.85
Cu  0.5596  0.5596  0.0644  6 Cu 2.57-2.73, 1 Rh 2.85
Cu  0.5637  0.0506  0.0506  6 Cu 2.53-2.72
Cu  0.8081  0.8081  0.8081  6 Cu 2.56-2.59
Rh  0.4874  0.4874  0.4874  12 Cu 2.85-3.14, 4 Pr 3.07-3.11